Record 1
{"formula": "Ni2SbPd2", "functional": "PBE-GGA", "state": "relaxed", "e_form_raw_ev_per_atom": 0.07, "polymorph_energy_mev_per_atom": 136, "cell": [[-2.747, -6.173, 1.763], [5.871, -1.641, 3.404], [-1.184, 1.287, 2.663]], "species": ["Pd", "Pd", "Pd", "Pd", "Ni", "Ni", "Ni", "Ni", "Sb", "Sb"], "fractional_positions": [[0.359, 0.859, 0.000], [0.141, 0.359, 0.000], [0.859, 0.641, 0.000], [0.641, 0.141, 0.000], [0.153, 0.653, 0.500], [0.847, 0.347, 0.500], [0.347, 0.153, 0.500], [0.653, 0.847, 0.500], [0.000, 0.000, 0.000], [0.500, 0.500, 0.000]]}


Record 2
{"formula": "Cs2YGa", "functional": "PBE-GGA", "state": "relaxed", "formation_enthalpy_0k_ev_per_atom": 0.4224, "polymorph_energy_mev_per_atom": 0, "cell": [[-0.580, -9.861, -3.522], [5.420, 7.453, 5.006], [-6.543, -1.683, 8.022]], "species": ["Cs", "Cs", "Cs", "Cs", "Y", "Y", "Ga", "Ga"], "fractional_positions": [[0.536, 0.875, 0.161], [0.625, 0.464, 0.339], [0.714, 0.375, 0.839], [0.125, 0.286, 0.661], [0.250, 0.750, 0.500], [0.000, 0.000, 0.000], [0.500, 0.500, 0.000], [0.750, 0.250, 0.500]]}


Record 3
{"formula": "MnTlOs", "functional": "PBE-GGA", "state": "relaxed", "formation_enthalpy_0k_ev_per_atom": 0.7956, "cell": [[4.346, 0.000, 0.000], [-2.173, 3.763, 0.000], [0.000, 0.000, 3.171]], "species": ["Tl", "Os", "Mn"], "fractional_positions": [[0.333, 0.667, 0.680], [0.667, 0.333, 0.216], [0.000, 0.000, 0.105]]}


Record 4
{"formula": "La2Pr2NdDy2", "functional": "PBE-GGA", "state": "relaxed", "formation_enthalpy_0k_ev_per_atom": 0.0211, "cell": [[-0.576, 3.016, 4.177], [-5.457, -2.236, -2.355], [1.744, -6.413, 4.871]], "species": ["Pr", "Pr", "Nd", "La", "La", "Dy", "Dy"], "fractional_positions": [[0.715, 0.430, 0.143], [0.285, 0.570, 0.857], [0.000, 0.000, 0.000], [0.142, 0.284, 0.427], [0.858, 0.716, 0.573], [0.429, 0.858, 0.286], [0.571, 0.142, 0.714]]}


Record 5
{"formula": "RbNa2Ge2", "functional": "PBE-GGA", "state": "relaxed", "formation_enthalpy_0k_ev_per_atom": 0.0317, "polymorph_energy_mev_per_atom": 108, "cell": [[-5.780, 1.743, 6.258], [5.406, -3.354, 5.928], [1.629, 3.541, 0.518]], "species": ["Ge", "Ge", "Ge", "Ge", "Na", "Na", "Na", "Na", "Rb", "Rb"], "fractional_positions": [[0.900, 0.600, 0.000], [0.400, 0.900, 0.000], [0.100, 0.400, 0.000], [0.600, 0.100, 0.000], [0.822, 0.322, 0.500], [0.322, 0.178, 0.500], [0.178, 0.678, 0.500], [0.678, 0.822, 0.500], [0.000, 0.000, 0.000], [0.500, 0.500, 0.000]]}


Record 6
{"formula": "TmMnAgCl6", "functional": "PBE-GGA", "state": "relaxed", "e_form_raw_ev_per_atom": -1.23, "cell": [[6.407, 0.000, 0.000], [-3.204, 5.549, 0.000], [0.000, 0.000, 12.238]], "species": ["Ag", "Ag", "Mn", "Mn", "Cl", "Cl", "Cl", "Cl", "Cl", "Cl", "Cl", "Cl", "Cl", "Cl", "Cl", "Cl", "Tm", "Tm"], "fractional_positions": [[0.000, 0.000, 0.000], [0.000, 0.000, 0.500], [0.333, 0.667, 0.250], [0.667, 0.333, 0.750], [0.366, 0.341, 0.865], [0.341, 0.975, 0.135], [0.659, 0.634, 0.635], [0.341, 0.366, 0.365], [0.366, 0.025, 0.635], [0.025, 0.659, 0.365], [0.025, 0.366, 0.135], [0.634, 0.659, 0.135], [0.659, 0.025, 0.865], [0.634, 0.975, 0.365], [0.975, 0.634, 0.865], [0.975, 0.341, 0.635], [0.667, 0.333, 0.250], [0.333, 0.667, 0.750]]}


Record 7
{"formula": "BeInNi2Os", "functional": "PBE-GGA", "state": "relaxed", "formation_enthalpy_0k_ev_per_atom": 2.0168, "cell": [[-1.907, -4.090, -0.428], [2.250, -1.482, 4.139], [-3.556, 1.403, 2.435]], "species": ["Be", "Os", "In", "Ni", "Ni"], "fractional_positions": [[0.500, 0.500, 0.500], [0.000, 0.500, 0.000], [0.000, 0.000, 0.000], [0.500, 0.000, 0.000], [0.000, 0.000, 0.500]]}


Record 8
{"formula": "DyIn4Hg6", "functional": "PBE-GGA", "state": "relaxed", "formation_enthalpy_0k_ev_per_atom": -0.0463, "cell": [[-2.266, -2.158, -1.325], [6.487, -6.614, -0.319], [-5.718, 0.628, 8.760]], "species": ["Hg", "Hg", "Hg", "Hg", "Hg", "Hg", "Dy", "In", "In", "In", "In"], "fractional_positions": [[0.500, 0.357, 0.183], [0.000, 0.415, 0.830], [0.000, 0.055, 0.544], [0.000, 0.488, 0.541], [0.500, 0.810, 0.617], [0.500, 0.816, 0.173], [0.000, 0.025, 0.051], [0.500, 0.692, 0.844], [0.000, 0.664, 0.322], [0.500, 0.185, 0.375], [0.500, 0.159, 0.853]]}


Record 9
{"formula": "La2Nd5Dy4", "functional": "PBE-GGA", "state": "relaxed", "formation_enthalpy_0k_ev_per_atom": 0.0647, "polymorph_energy_mev_per_atom": 0, "cell": [[-2.500, 2.548, -0.206], [-5.338, -5.944, -8.714], [-3.435, -5.345, 6.609]], "species": ["Nd", "Nd", "Nd", "Nd", "Nd", "La", "La", "Dy", "Dy", "Dy", "Dy"], "fractional_positions": [[0.095, 0.536, 0.190], [0.905, 0.464, 0.810], [0.824, 0.931, 0.648], [0.500, 0.000, 0.000], [0.176, 0.069, 0.352], [0.282, 0.645, 0.564], [0.718, 0.355, 0.436], [0.031, 0.258, 0.062], [0.639, 0.799, 0.278], [0.969, 0.742, 0.938], [0.361, 0.201, 0.722]]}


Record 10
{"formula": "HoZrCuTc", "functional": "PBE-GGA", "state": "relaxed", "formation_enthalpy_0k_ev_per_atom": -0.1826, "cell": [[-3.694, -2.808, 0.974], [0.077, -4.557, -1.305], [0.406, -3.399, 3.281]], "species": ["Ho", "Zr", "Tc", "Cu"], "fractional_positions": [[0.000, 0.000, 0.000], [0.500, 0.500, 0.500], [0.750, 0.750, 0.750], [0.250, 0.250, 0.250]]}


Record 11
{"formula": "LaZr2Te", "functional": "PBE-GGA", "state": "relaxed", "e_form_raw_ev_per_atom": -0.40, "cell": [[3.722, 0.000, 0.000], [0.000, 3.722, 0.000], [0.000, 0.000, 7.807]], "species": ["Zr", "Zr", "Te", "La"], "fractional_positions": [[0.500, 0.500, 0.208], [0.000, 0.000, 0.990], [0.500, 0.500, 0.802], [0.000, 0.000, 0.500]]}


Record 12
{"formula": "Pr2DyY6Tm3", "functional": "PBE-GGA", "state": "relaxed", "formation_enthalpy_0k_ev_per_atom": 0.0238, "cell": [[-1.572, -5.922, -0.873], [1.653, 1.961, 5.633], [-11.135, 3.918, 0.773]], "species": ["Y", "Y", "Y", "Y", "Y", "Y", "Pr", "Pr", "Tm", "Tm", "Tm", "Dy"], "fractional_positions": [[0.753, 0.753, 0.254], [0.915, 0.582, 0.746], [0.418, 0.085, 0.254], [0.085, 0.418, 0.254], [0.582, 0.915, 0.746], [0.247, 0.247, 0.746], [0.333, 0.667, 0.000], [0.667, 0.333, 0.000], [0.500, 0.500, 0.500], [0.166, 0.834, 0.500], [0.834, 0.166, 0.500], [0.000, 0.000, 0.000]]}


Record 13
{"formula": "La2In2Ag15", "functional": "PBE-GGA", "state": "relaxed", "formation_enthalpy_0k_ev_per_atom": -0.1093, "cell": [[7.408, -0.010, -0.009], [0.951, 7.347, -0.009], [0.951, 0.835, 7.299]], "species": ["Ag", "Ag", "Ag", "Ag", "Ag", "Ag", "Ag", "Ag", "Ag", "Ag", "Ag", "Ag", "Ag", "Ag", "Ag", "In", "In", "La", "La"], "fractional_positions": [[0.500, 0.000, 0.000], [0.000, 0.694, 0.306], [0.842, 0.352, 0.352], [0.648, 0.648, 0.158], [0.000, 0.306, 0.694], [0.000, 0.500, 0.000], [0.694, 0.000, 0.306], [0.694, 0.306, 0.000], [0.352, 0.842, 0.352], [0.648, 0.158, 0.648], [0.000, 0.000, 0.500], [0.306, 0.000, 0.694], [0.158, 0.648, 0.648], [0.306, 0.694, 0.000], [0.352, 0.352, 0.842], [0.896, 0.896, 0.896], [0.104, 0.104, 0.104], [0.652, 0.652, 0.652], [0.348, 0.348, 0.348]]}


Record 14
{"formula": "LiAu5", "functional": "PBE-GGA", "state": "relaxed", "formation_enthalpy_0k_ev_per_atom": -0.2059, "polymorph_energy_mev_per_atom": 35, "cell": [[5.631, 0.027, -0.015], [4.865, 2.835, -0.015], [1.870, 0.510, 6.609]], "species": ["Au", "Au", "Au", "Au", "Au", "Li"], "fractional_positions": [[0.615, 0.615, 0.268], [0.332, 0.332, 0.328], [0.001, 0.001, 0.997], [0.937, 0.937, 0.625], [0.669, 0.669, 0.671], [0.279, 0.279, 0.945]]}


Record 15
{"formula": "SrIn4Rh2", "functional": "PBE-GGA", "state": "relaxed", "formation_enthalpy_0k_ev_per_atom": -0.3982, "cell": [[-4.525, -0.857, -0.371], [-0.523, -0.383, 7.266], [-3.513, 18.250, 0.710]], "species": ["In", "In", "In", "In", "In", "In", "In", "In", "In", "In", "In", "In", "In", "In", "In", "In", "Rh", "Rh", "Rh", "Rh", "Rh", "Rh", "Rh", "Rh", "Sr", "Sr", "Sr", "Sr"], "fractional_positions": [[0.750, 0.646, 0.967], [0.250, 0.497, 0.430], [0.750, 0.737, 0.307], [0.250, 0.671, 0.685], [0.750, 0.854, 0.467], [0.750, 0.503, 0.570], [0.750, 0.997, 0.070], [0.750, 0.171, 0.815], [0.250, 0.237, 0.193], [0.250, 0.354, 0.033], [0.250, 0.263, 0.693], [0.250, 0.829, 0.185], [0.750, 0.763, 0.807], [0.250, 0.146, 0.533], [0.250, 0.003, 0.930], [0.750, 0.329, 0.315], [0.250, 0.750, 0.539], [0.750, 0.037, 0.217], [0.250, 0.537, 0.283], [0.250, 0.750, 0.039], [0.750, 0.250, 0.461], [0.250, 0.963, 0.783], [0.750, 0.463, 0.717], [0.750, 0.250, 0.961], [0.750, 0.972, 0.641], [0.750, 0.528, 0.141], [0.250, 0.028, 0.359], [0.250, 0.472, 0.859]]}


Record 16
{"formula": "Ho4Ge8Os", "functional": "PBE-GGA", "state": "relaxed", "formation_enthalpy_0k_ev_per_atom": -0.5319, "cell": [[-1.431, -1.148, -3.586], [-3.442, -1.450, 1.838], [-6.976, 14.289, -1.791]], "species": ["Ge", "Ge", "Ge", "Ge", "Ge", "Ge", "Ge", "Ge", "Ho", "Ho", "Ho", "Ho", "Os"], "fractional_positions": [[0.500, 0.500, 0.755], [0.000, 0.000, 0.467], [0.500, 0.000, 0.571], [0.500, 0.500, 0.048], [0.500, 0.000, 0.228], [0.000, 0.500, 0.939], [0.000, 0.000, 0.750], [0.000, 0.500, 0.231], [0.000, 0.000, 0.096], [0.500, 0.500, 0.400], [0.000, 0.500, 0.610], [0.500, 0.000, 0.895], [0.000, 0.000, 0.315]]}


Record 17
{"formula": "K3Cd2P2", "functional": "PBE-GGA", "state": "relaxed", "formation_enthalpy_0k_ev_per_atom": -0.2196, "cell": [[6.356, 0.000, 0.000], [0.000, 9.468, 0.000], [0.000, 0.000, 14.116]], "species": ["K", "K", "K", "K", "K", "K", "K", "K", "K", "K", "K", "K", "P", "P", "P", "P", "P", "P", "P", "P", "Cd", "Cd", "Cd", "Cd", "Cd", "Cd", "Cd", "Cd"], "fractional_positions": [[0.896, 0.163, 0.115], [0.339, 0.288, 0.250], [0.896, 0.163, 0.385], [0.661, 0.712, 0.750], [0.661, 0.788, 0.250], [0.896, 0.337, 0.615], [0.104, 0.663, 0.385], [0.896, 0.337, 0.885], [0.104, 0.837, 0.885], [0.104, 0.837, 0.615], [0.339, 0.212, 0.750], [0.104, 0.663, 0.115], [0.187, 0.550, 0.750], [0.417, 0.250, 0.500], [0.417, 0.250, 0.000], [0.583, 0.750, 0.500], [0.583, 0.750, 0.000], [0.813, 0.450, 0.250], [0.187, 0.950, 0.250], [0.813, 0.050, 0.750], [0.373, 0.514, 0.586], [0.627, 0.486, 0.414], [0.627, 0.014, 0.914], [0.373, 0.514, 0.914], [0.627, 0.014, 0.586], [0.627, 0.486, 0.086], [0.373, 0.986, 0.414], [0.373, 0.986, 0.086]]}


Record 18
{"formula": "UPtC", "functional": "PBE-GGA", "state": "relaxed", "formation_enthalpy_0k_ev_per_atom": -0.2771, "cell": [[-1.529, -2.716, -1.411], [1.678, 0.576, -2.926], [6.410, -3.995, 4.891]], "species": ["C", "C", "U", "U", "Pt", "Pt"], "fractional_positions": [[0.698, 0.698, 0.397], [0.302, 0.302, 0.603], [0.171, 0.171, 0.342], [0.829, 0.829, 0.658], [0.426, 0.426, 0.853], [0.574, 0.574, 0.147]]}


Record 19
{"formula": "BC3", "functional": "PBE-GGA", "state": "relaxed", "formation_enthalpy_0k_ev_per_atom": 0.2729, "polymorph_energy_mev_per_atom": 32, "cell": [[2.520, 0.000, 0.000], [0.000, 2.520, 0.000], [0.000, 0.000, 11.666]], "species": ["C", "C", "C", "C", "C", "C", "C", "C", "C", "B", "B", "B"], "fractional_positions": [[0.500, 0.500, 0.485], [0.500, 0.500, 0.849], [0.500, 0.000, 0.922], [0.000, 0.500, 0.412], [0.500, 0.000, 0.257], [0.000, 0.500, 0.076], [0.000, 0.000, 0.003], [0.000, 0.000, 0.330], [0.000, 0.000, 0.667], [0.500, 0.500, 0.167], [0.500, 0.000, 0.578], [0.000, 0.500, 0.755]]}


Record 20
{"formula": "Li2ScPt", "functional": "PBE-GGA", "state": "relaxed", "formation_enthalpy_0k_ev_per_atom": -0.5344, "polymorph_energy_mev_per_atom": 44, "cell": [[3.783, 0.000, 0.000], [0.000, 3.790, 0.000], [0.000, 0.000, 4.778]], "species": ["Pt", "Sc", "Li", "Li"], "fractional_positions": [[0.500, 0.000, 0.500], [0.000, 0.500, 0.500], [0.000, 0.000, 0.000], [0.500, 0.500, 0.000]]}